--- i ---
5
Lattice="4.9675 0.0000 0.0000 0.0000 4.9675 0.0000 0.0000 0.0000 4.9675" Properties=species:S:1:pos:R:3 comment="VAg3Ge | Alexandria via LeMat-Bulk | PBE | relaxed" magnetic_moment_mub_per_cell=3.3 pbc="T T T"
V 0.0000 0.0000 0.0000
Ag 0.0000 0.0000 2.4837
Ag 0.0000 2.4837 0.0000
Ag 2.4837 0.0000 0.0000
Ge 2.4837 2.4837 2.4837

=====

--- ii ---
5
Lattice="4.8288 0.0000 0.0000 0.0000 4.8288 0.0000 0.0000 0.0000 4.8288" Properties=species:S:1:pos:R:3 comment="VAg3Ge | Alexandria via LeMat-Bulk | PBE | relaxed" magnetic_moment_mub_per_cell=3.7 pbc="T T T"
V 0.0000 0.0000 0.0000
Ag 0.0000 2.4144 2.4144
Ag 2.4144 0.0000 2.4144
Ag 2.4144 2.4144 0.0000
Ge 2.4144 2.4144 2.4144

=====

Stability, descending: ii, i

=====

--- i ---
10
Lattice="7.2602 0.0000 0.0000 0.0000 7.2602 0.0000 0.0000 0.0000 3.1560" Properties=species:S:1:pos:R:3 comment="AgGe2W2 | Alexandria via LeMat-Bulk | PBE | relaxed" magnetic_moment_mub_per_cell=0.0 pbc="T T T"
Ag 0.0000 0.0000 0.0000
Ag 3.6301 3.6301 0.0000
Ge 1.1247 2.5054 0.0000
Ge 2.5054 6.1355 0.0000
Ge 4.7547 1.1247 0.0000
Ge 6.1355 4.7547 0.0000
W 0.9782 4.6082 1.5780
W 2.6519 0.9782 1.5780
W 4.6082 6.2820 1.5780
W 6.2820 2.6519 1.5780

=====

--- ii ---
10
Lattice="3.9388 0.0000 0.0000 0.0000 3.9388 0.0000 0.0000 0.0000 11.6217" Properties=species:S:1:pos:R:3 comment="AgGe2W2 | Alexandria via LeMat-Bulk | PBE | relaxed" magnetic_moment_mub_per_cell=0.0 pbc="T T T"
Ag 0.0000 0.0000 0.0000
Ag 1.9694 1.9694 5.8108
Ge 0.0000 0.0000 4.6152
Ge 0.0000 0.0000 7.0065
Ge 1.9694 1.9694 1.1956
Ge 1.9694 1.9694 10.4261
W 0.0000 1.9694 2.9054
W 0.0000 1.9694 8.7163
W 1.9694 0.0000 2.9054
W 1.9694 0.0000 8.7163

=====

Stability, descending: i, ii

=====

--- i ---
5
Lattice="4.7011 0.0000 0.0000 0.0000 4.7011 0.0000 0.0000 0.0000 4.7011" Properties=species:S:1:pos:R:3 comment="Ag3GeW | Alexandria via LeMat-Bulk | PBE | relaxed" magnetic_moment_mub_per_cell=0.0 pbc="T T T"
Ag 0.0000 0.0000 2.3505
Ag 0.0000 2.3505 0.0000
Ag 2.3505 0.0000 0.0000
Ge 0.0000 0.0000 0.0000
W 2.3505 2.3505 2.3505

=====

--- ii ---
5
Lattice="5.0743 0.0000 0.0000 0.0000 5.0743 0.0000 0.0000 0.0000 5.0743" Properties=species:S:1:pos:R:3 comment="Ag3GeW | Alexandria via LeMat-Bulk | PBE | relaxed" magnetic_moment_mub_per_cell=0.0 pbc="T T T"
Ag 0.0000 0.0000 2.5372
Ag 0.0000 2.5372 0.0000
Ag 2.5372 0.0000 0.0000
Ge 2.5372 2.5372 2.5372
W 0.0000 0.0000 0.0000

=====

Stability, descending: i, ii

=====

--- i ---
5
Lattice="5.4063 0.0000 0.0000 0.0000 5.4063 0.0000 0.0000 0.0000 5.4063" Properties=species:S:1:pos:R:3 comment="YAgGe3 | Alexandria via LeMat-Bulk | PBE | relaxed" magnetic_moment_mub_per_cell=0.0 pbc="T T T"
Y 0.0000 0.0000 0.0000
Ag 2.7032 2.7032 2.7032
Ge 0.0000 0.0000 2.7032
Ge 0.0000 2.7032 0.0000
Ge 2.7032 0.0000 0.0000

=====

--- ii ---
5
Lattice="4.9866 0.0000 0.0000 0.0000 4.9866 0.0000 0.0000 0.0000 4.9866" Properties=species:S:1:pos:R:3 comment="YAgGe3 | Alexandria via LeMat-Bulk | PBE | relaxed" magnetic_moment_mub_per_cell=0.0 pbc="T T T"
Y 0.0000 0.0000 0.0000
Ag 2.4933 2.4933 2.4933
Ge 0.0000 2.4933 2.4933
Ge 2.4933 0.0000 2.4933
Ge 2.4933 2.4933 0.0000

=====

Stability, descending: ii, i

=====

--- i ---
12
Lattice="6.1653 0.0000 0.0000 0.0000 6.1653 0.0000 0.0000 0.0000 6.1653" Properties=species:S:1:pos:R:3 comment="ZnAgGe | Alexandria via LeMat-Bulk | PBE | relaxed" magnetic_moment_mub_per_cell=0.0 pbc="T T T"
Zn 0.0000 0.0000 0.0000
Zn 0.0000 3.0826 3.0826
Zn 3.0826 0.0000 3.0826
Zn 3.0826 3.0826 0.0000
Ag 0.0000 0.0000 3.0826
Ag 0.0000 3.0826 0.0000
Ag 3.0826 0.0000 0.0000
Ag 3.0826 3.0826 3.0826
Ge 1.5413 1.5413 1.5413
Ge 1.5413 4.6240 4.6240
Ge 4.6240 1.5413 4.6240
Ge 4.6240 4.6240 1.5413

=====

--- ii ---
3
Lattice="3.0513 0.0000 0.0000 -1.5257 2.6425 0.0000 0.0000 0.0000 6.4573" Properties=species:S:1:pos:R:3 comment="ZnAgGe | Alexandria via LeMat-Bulk | PBE | relaxed" magnetic_moment_mub_per_cell=0.0 pbc="T T T"
Zn 0.0000 0.0000 0.0000
Ag 0.0000 1.7617 4.3539
Ge 1.5257 0.8808 2.1066

=====

Stability, descending: ii, i

=====

--- i ---
4
Lattice="4.1143 0.0000 0.0000 0.0000 4.1143 0.0000 0.0000 0.0000 4.0941" Properties=species:S:1:pos:R:3 comment="ZnAg2Ge | Alexandria via LeMat-Bulk | PBE | relaxed" magnetic_moment_mub_per_cell=0.0 pbc="T T T"
Zn 0.0000 0.0000 0.0000
Ag 0.0000 2.0571 2.0471
Ag 2.0571 0.0000 2.0471
Ge 2.0571 2.0571 0.0000

=====

--- ii ---
4
Lattice="3.1594 0.0000 0.0000 0.0000 3.1594 0.0000 0.0000 0.0000 7.0535" Properties=species:S:1:pos:R:3 comment="ZnAg2Ge | Alexandria via LeMat-Bulk | PBE | relaxed" magnetic_moment_mub_per_cell=0.0 pbc="T T T"
Zn 0.0000 0.0000 0.0000
Ag 1.5797 1.5797 1.6265
Ag 1.5797 1.5797 5.4270
Ge 0.0000 0.0000 3.5267

=====

--- iii ---
16
Lattice="7.4817 0.0000 0.0000 0.0000 7.4817 0.0000 0.0000 0.0000 5.4875" Properties=species:S:1:pos:R:3 comment="ZnAg2Ge | Alexandria via LeMat-Bulk | PBE | relaxed" magnetic_moment_mub_per_cell=0.0 pbc="T T T"
Zn 0.0000 0.0000 0.0000
Zn 0.0000 3.7409 1.3719
Zn 3.7409 0.0000 4.1156
Zn 3.7409 3.7409 2.7437
Ag 1.8044 1.8704 0.6859
Ag 1.8704 5.5453 2.0578
Ag 1.8704 5.6773 4.8015
Ag 1.9365 1.8704 3.4297
Ag 5.5453 5.6113 3.4297
Ag 5.6113 1.8044 4.8015
Ag 5.6113 1.9365 2.0578
Ag 5.6773 5.6113 0.6859
Ge 0.0000 0.0000 2.7437
Ge 0.0000 3.7409 4.1156
Ge 3.7409 0.0000 1.3719
Ge 3.7409 3.7409 0.0000

=====

--- iv ---
8
Lattice="9.0214 0.0000 0.0000 0.0000 2.9013 0.0000 -3.7917 0.0000 5.4236" Properties=species:S:1:pos:R:3 comment="ZnAg2Ge | Alexandria via LeMat-Bulk | PBE | relaxed" magnetic_moment_mub_per_cell=0.0 pbc="T T T"
Zn 0.0000 0.0000 0.0000
Zn 4.5107 1.4506 0.0000
Ag -1.7804 1.4506 4.1454
Ag 2.5365 0.0000 1.2332
Ag 2.7303 0.0000 4.1454
Ag 7.0472 1.4506 1.2332
Ge 0.5588 1.4506 2.6502
Ge 5.0695 0.0000 2.6502

=====

Stability, descending: iv, i, ii, iii

=====

--- i ---
10
Lattice="7.0236 0.0000 0.0000 0.0000 7.0236 0.0000 0.0000 0.0000 3.6571" Properties=species:S:1:pos:R:3 comment="Zn2AgGe2 | Alexandria via LeMat-Bulk | PBE | relaxed" magnetic_moment_mub_per_cell=0.0 pbc="T T T"
Zn 0.9255 2.5863 0.0000
Zn 2.5863 6.0980 0.0000
Zn 4.4373 0.9255 0.0000
Zn 6.0980 4.4373 0.0000
Ag 0.0000 0.0000 0.0000
Ag 3.5118 3.5118 0.0000
Ge 1.1901 4.7019 1.8286
Ge 2.3216 1.1901 1.8286
Ge 4.7019 5.8334 1.8286
Ge 5.8334 2.3216 1.8286

=====

--- ii ---
10
Lattice="6.9175 0.0000 0.0000 0.0000 6.9175 0.0000 0.0000 0.0000 3.8677" Properties=species:S:1:pos:R:3 comment="Zn2AgGe2 | Alexandria via LeMat-Bulk | PBE | relaxed" magnetic_moment_mub_per_cell=0.0 pbc="T T T"
Zn 1.2138 2.2450 0.0000
Zn 2.2450 5.7037 0.0000
Zn 4.6725 1.2138 0.0000
Zn 5.7037 4.6725 0.0000
Ag 0.0000 0.0000 1.9339
Ag 3.4587 3.4587 1.9339
Ge 0.9202 4.3789 1.9339
Ge 2.5386 0.9202 1.9339
Ge 4.3789 5.9973 1.9339
Ge 5.9973 2.5386 1.9339

=====

--- iii ---
10
Lattice="4.1031 0.0000 0.0000 0.0000 4.1031 0.0000 0.0000 0.0000 11.1693" Properties=species:S:1:pos:R:3 comment="Zn2AgGe2 | Alexandria via LeMat-Bulk | PBE | relaxed" magnetic_moment_mub_per_cell=0.0 pbc="T T T"
Zn 0.0000 2.0516 2.7923
Zn 0.0000 2.0516 8.3770
Zn 2.0516 0.0000 2.7923
Zn 2.0516 0.0000 8.3770
Ag 0.0000 0.0000 0.0000
Ag 2.0516 2.0516 5.5846
Ge 0.0000 0.0000 4.3584
Ge 0.0000 0.0000 6.8109
Ge 2.0516 2.0516 1.2262
Ge 2.0516 2.0516 9.9431

=====

Stability, descending: i, ii, iii

=====

--- i ---
5
Lattice="4.8404 0.0000 0.0000 0.0000 4.8404 0.0000 0.0000 0.0000 4.8404" Properties=species:S:1:pos:R:3 comment="Zn3AgGe | Alexandria via LeMat-Bulk | PBE | relaxed" magnetic_moment_mub_per_cell=0.0 pbc="T T T"
Zn 0.0000 0.0000 2.4202
Zn 0.0000 2.4202 0.0000
Zn 2.4202 0.0000 0.0000
Ag 0.0000 0.0000 0.0000
Ge 2.4202 2.4202 2.4202

=====

--- ii ---
5
Lattice="4.8480 0.0000 0.0000 0.0000 4.8480 0.0000 0.0000 0.0000 4.8480" Properties=species:S:1:pos:R:3 comment="Zn3AgGe | Alexandria via LeMat-Bulk | PBE | relaxed" magnetic_moment_mub_per_cell=0.0 pbc="T T T"
Zn 0.0000 0.0000 2.4240
Zn 0.0000 2.4240 0.0000
Zn 2.4240 0.0000 0.0000
Ag 2.4240 2.4240 2.4240
Ge 0.0000 0.0000 0.0000

=====

Stability, descending: ii, i